No. 1
{
  "formula": "CeNdHo2",
  "functional": "PBE-GGA",
  "state": "optimized geometry",
  "lattice": [[-0.4448, -3.0714, -1.7373], [1.0288, -3.0565, 1.4997], [-10.2266, -3.2201, 4.6703]],
  "species": ["Ce", "Nd", "Ho", "Ho"],
  "frac_coords": [[0.6664, 0.6664, 0.0007], [0.5005, 0.5005, 0.4984], [0.0806, 0.0806, 0.7582], [0.2525, 0.2525, 0.2426]],
  "formation_enthalpy_0k_ev_per_atom": 0.05,
  "polymorph_energy_ev_per_atom": 0.0203
}

=====

No. 2
{
  "formula": "CeNdHo",
  "functional": "PBE-GGA",
  "state": "optimized geometry",
  "lattice": [[5.4904, 0.4440, 2.6608], [-0.0451, 3.5075, -0.4952], [7.1536, -1.5828, 13.5956]],
  "species": ["Ce", "Ce", "Nd", "Nd", "Ho", "Ho"],
  "frac_coords": [[0.7587, 0.7763, 0.5772], [0.2775, 0.2752, 0.5736], [0.4543, 0.1009, 0.8993], [0.5818, 0.9506, 0.2515], [0.9423, 0.6058, 0.9049], [0.0938, 0.4457, 0.2459]],
  "formation_enthalpy_0k_ev_per_atom": 0.07,
  "polymorph_energy_ev_per_atom": 0.0000
}

=====

No. 3
{
  "formula": "CeNd4Ho3",
  "functional": "PBE-GGA",
  "state": "optimized geometry",
  "lattice": [[-2.5204, -2.3494, 0.0141], [0.3142, -0.3781, -6.8531], [8.8159, -6.9058, 4.2035]],
  "species": ["Nd", "Nd", "Nd", "Nd", "Ho", "Ho", "Ho", "Ce"],
  "frac_coords": [[0.7412, 0.2353, 0.4824], [0.2588, 0.7647, 0.5176], [0.1221, 0.3647, 0.2441], [0.8779, 0.6353, 0.7559], [0.0000, 0.5000, 0.0000], [0.1225, 0.8811, 0.2450], [0.8775, 0.1189, 0.7550], [0.5000, 0.0000, 0.0000]],
  "formation_enthalpy_0k_ev_per_atom": 0.19
}

=====

No. 4
{
  "formula": "Ce2Nd8Ho",
  "functional": "PBE-GGA",
  "state": "optimized geometry",
  "lattice": [[5.4018, 0.0000, -1.6403], [-1.0246, 7.5876, -3.3744], [-0.0704, -0.4052, 9.4831]],
  "species": ["Ce", "Ce", "Nd", "Nd", "Nd", "Nd", "Nd", "Nd", "Nd", "Nd", "Ho"],
  "frac_coords": [[0.2007, 0.7006, 0.4014], [0.7993, 0.2994, 0.5986], [0.6393, 0.8453, 0.2785], [0.3608, 0.5668, 0.7216], [0.1572, 0.1572, 0.3143], [0.0000, 0.2964, 0.0000], [0.8428, 0.8428, 0.6857], [0.6392, 0.4332, 0.2784], [0.3607, 0.1547, 0.7215], [0.0000, 0.7036, 0.0000], [0.5000, 0.0000, 0.0000]],
  "formation_enthalpy_0k_ev_per_atom": 0.16
}

=====

No. 5
{
  "formula": "CeNd3Ho8",
  "functional": "PBE-GGA",
  "state": "optimized geometry",
  "lattice": [[7.5447, -0.4383, -3.5517], [-4.3979, 6.9909, -1.2310], [-0.2757, 0.4383, 8.3343]],
  "species": ["Ce", "Nd", "Nd", "Nd", "Ho", "Ho", "Ho", "Ho", "Ho", "Ho", "Ho", "Ho"],
  "frac_coords": [[0.0000, 0.0000, 0.0000], [0.5000, 0.7500, 0.2500], [0.5000, 0.2500, 0.7500], [0.0000, 0.5000, 0.5000], [0.4648, 0.2029, 0.2029], [0.5352, 0.7381, 0.7381], [0.0000, 0.7971, 0.2619], [0.0000, 0.2619, 0.7971], [0.2489, 0.3604, 0.3604], [0.7511, 0.1116, 0.1116], [0.0000, 0.6396, 0.8884], [0.0000, 0.8884, 0.6396]],
  "formation_enthalpy_0k_ev_per_atom": 0.60
}

=====

No. 6
{
  "formula": "CeNd12Ho7",
  "functional": "PBE-GGA",
  "state": "optimized geometry",
  "lattice": [[6.0746, 0.0000, -1.2502], [-3.1667, 9.8106, -5.1311], [0.2587, 0.0000, 11.5124]],
  "species": ["Ce", "Nd", "Nd", "Nd", "Nd", "Nd", "Nd", "Nd", "Nd", "Nd", "Nd", "Nd", "Nd", "Ho", "Ho", "Ho", "Ho", "Ho", "Ho", "Ho"],
  "frac_coords": [[0.0000, 0.0000, 0.0000], [0.0876, 0.5877, 0.1753], [0.0877, 0.1753, 0.5876], [0.5746, 0.6458, 0.0001], [0.4255, 0.0001, 0.3543], [0.5001, 0.4124, 0.5877], [0.0712, 0.6457, 0.6458], [0.9288, 0.3543, 0.3542], [0.4999, 0.5876, 0.4123], [0.5745, 0.9999, 0.6457], [0.4254, 0.3542, 0.9999], [0.9123, 0.8247, 0.4124], [0.9124, 0.4123, 0.8247], [0.1193, 0.7582, 0.0001], [0.8808, 0.0001, 0.2419], [0.6389, 0.7581, 0.7582], [0.5000, 0.0000, 0.0000], [0.3611, 0.2419, 0.2418], [0.1192, 0.9999, 0.7581], [0.8807, 0.2418, 0.9999]],
  "formation_enthalpy_0k_ev_per_atom": 0.24,
  "polymorph_energy_ev_per_atom": 0.0870
}